# 1
DFT (PBE) results for crystalline TbEr2Pa at its relaxed geometry.

It has space group R3m (No. 160, hexagonal axes), with a = 3.4146 Å, b = 3.4146 Å, c = 34.3732 Å, α = 90.00°, β = 90.00° and γ = 120.00°. The asymmetric unit holds Tb at (0.0000, 0.0000, 0.0000), Er at (0.0000, 0.0000, 0.4195), Er at (0.0000, 0.0000, 0.5811) and Pa at (0.0000, 0.0000, 0.8341).

The calculation puts the volume at 28.92 A^3/atom. For the formation energy, the calculation gives 105 meV per atom.

# 2
DFT (PBE) results for crystalline TbErPa at its relaxed geometry.

It has space group P2_1/m (No. 11), with a = 4.777 Å, b = 4.778 Å, c = 7.959 Å, α = 90.00°, β = 107.34° and γ = 90.00°. The asymmetric unit holds Tb at (0.093, 0.250, 0.185), Er at (0.407, 0.250, 0.816) and Pa at (0.250, 0.750, 0.500).

The calculation puts the volume at 28.90 A^3/atom. For the formation energy, the calculation gives 149 meV per atom.

# 3
DFT (PBE) results for crystalline TbEr2Pa at its relaxed geometry.

It has space group P4/mmm (No. 123), with a = 5.755 Å, b = 5.755 Å, c = 3.522 Å, α = 90.00°, β = 90.00° and γ = 90.00°. The asymmetric unit holds Tb at (0.000, 0.000, 0.000), Er at (0.000, 0.500, 0.500) and Pa at (0.500, 0.500, 0.000).

The calculation puts the volume at 29.16 A^3/atom. For the formation energy, the calculation gives 285 meV per atom.

# 4
DFT (PBE) results for crystalline TbErPa4 at its relaxed geometry.

It has space group F-43m (No. 216), with a = 8.692 Å, b = 8.692 Å, c = 8.692 Å, α = 90.00°, β = 90.00° and γ = 90.00°. The asymmetric unit holds Tb at (0.000, 0.000, 0.000), Er at (0.250, 0.250, 0.250) and Pa at (0.125, 0.125, 0.625).

The calculation puts the volume at 27.36 A^3/atom. For the formation energy, the calculation gives 232 meV per atom.